Record 1
A plane-wave DFT calculation with PBE-GGA was carried out for MgTlMo2 after structural relaxation.

a = 4.7599 Å, b = 2.8581 Å, c = 5.5099 Å
α = 79.03°, β = 90.00°, γ = 90.00°
Atoms (fractional coordinates):
Mg 0.5000 0.7500 0.7500
Mo 0.0000 0.0498 0.9708
Mo 0.0000 0.4502 0.5292
Tl 0.5000 0.2500 0.2500

## Properties
Formation energy from the elements ... 0.500 eV/atom
Total DFT energy (no corrections) ... -5.906 eV per atom
Symmetry ... P2/m (10)

***

Record 2
A plane-wave DFT calculation with PBE-GGA was carried out for MgTlMo after structural relaxation.

a = 4.6880 Å, b = 4.6880 Å, c = 4.6880 Å
α = 60.00°, β = 60.00°, γ = 60.00°
Last column: magnetic moment on the atom in μB.
Atoms (fractional coordinates):
Mg 0.5000 0.5000 0.5000  0.00
Mo 0.2500 0.2500 0.2500  2.20
Tl 0.0000 0.0000 0.0000  -0.05

## Properties
Formation energy from the elements ... 0.948 eV/atom
Total DFT energy (no corrections) ... -3.982 eV per atom
Symmetry ... F-43m (216)

***

Spin magnetization readings, ordered: 0.000, 2.447 μB per formula unit
Excess energy over the best structure of this formula in the dataset readings, ordered: 0.216, 0.459 eV per atom